No. 1
Compound: GdSiPt2
Source: OQMD
Functional: PBE
Structure: optimized geometry

a = 5.5345 Å, b = 4.2382 Å, c = 6.5882 Å
α = 90.00°, β = 91.32°, γ = 90.00°
With the nearest neighbours (Å) after each atom.
Atoms (fractional coordinates):
Gd: 0.1410 0.2500 0.2508  8 Pt 2.96-3.20
Gd: 0.8590 0.7500 0.7492  8 Pt 2.96-3.20
Si: 0.3767 0.2500 0.7486  6 Pt 2.48-2.56
Si: 0.6233 0.7500 0.2514  6 Pt 2.48-2.56
Pt: 0.3355 0.7500 0.5339  3 Si 2.48-2.56, 1 Pt 2.77
Pt: 0.3407 0.7500 0.9537  3 Si 2.48-2.52, 1 Pt 2.77
Pt: 0.6593 0.2500 0.0463  3 Si 2.48-2.52, 1 Pt 2.77
Pt: 0.6645 0.2500 0.4661  3 Si 2.48-2.56, 1 Pt 2.77

## Properties
- total moment (μB per cell) = 0.01



No. 2
Compound: Er2InGePt4
Source: OQMD
Functional: PBE
Structure: optimized geometry

a = 4.4668 Å, b = 4.4668 Å, c = 9.0365 Å
α = 90.00°, β = 90.00°, γ = 120.00°
With the nearest neighbours (Å) after each atom.
Atoms (fractional coordinates):
Er: 0.3333 0.6667 0.2548  8 Pt 2.96-3.16
Er: 0.6667 0.3333 0.7452  8 Pt 2.96-3.16
In: 0.0000 0.0000 0.0000  6 Pt 2.72
Ge: 0.0000 0.0000 0.5000  6 Pt 2.69
Pt: 0.3333 0.6667 0.5841  3 Ge 2.69, 4 Pt 2.90-2.99, 4 Er 2.96-2.98
Pt: 0.3333 0.6667 0.9050  3 In 2.72, 1 Pt 2.90, 3 Er 2.96
Pt: 0.6667 0.3333 0.0950  3 In 2.72, 1 Pt 2.90, 3 Er 2.96
Pt: 0.6667 0.3333 0.4159  3 Ge 2.69, 4 Pt 2.90-2.99, 4 Er 2.96-2.98

## Properties
- total moment (μB per cell) = 0.00



No. 3
Compound: MgCdCu
Source: OQMD
Functional: PBE
Structure: optimized geometry

a = 10.1349 Å, b = 9.4709 Å, c = 5.2011 Å
α = 81.81°, β = 67.66°, γ = 30.53°
With the nearest neighbours (Å) after each atom.
Atoms (fractional coordinates):
Mg: 0.0417 0.7083 0.0417  4 Cu 2.71-2.75, 1 Mg 2.98
Mg: 0.2917 0.9583 0.2917  4 Cu 2.71-2.75, 1 Mg 2.98
Mg: 0.7083 0.0417 0.7083  4 Cu 2.71-2.75, 1 Mg 2.98
Mg: 0.9583 0.2917 0.9583  4 Cu 2.71-2.75, 1 Mg 2.98
Cd: 0.2941 0.2941 0.4559  4 Cu 2.71-2.78, 1 Cd 2.94
Cd: 0.4559 0.4559 0.2941  4 Cu 2.71-2.78, 1 Cd 2.94
Cd: 0.5441 0.5441 0.7059  4 Cu 2.71-2.78, 1 Cd 2.94
Cd: 0.7059 0.7059 0.5441  4 Cu 2.71-2.78, 1 Cd 2.94
Cu: 0.0019 0.0019 0.7481  2 Cu 2.60, 4 Mg 2.71-2.75, 4 Cd 2.71-2.78
Cu: 0.2519 0.2519 0.9981  2 Cu 2.60, 4 Mg 2.71-2.75, 4 Cd 2.71-2.78
Cu: 0.7481 0.7481 0.0019  2 Cu 2.60, 4 Mg 2.71-2.75, 4 Cd 2.71-2.78
Cu: 0.9981 0.9981 0.2519  2 Cu 2.60, 4 Mg 2.71-2.75, 4 Cd 2.71-2.78

## Properties
- relative energy among the computed polymorphs (meV per atom) = 0



No. 4
Compound: PmHfIr2
Source: OQMD
Functional: PBE
Structure: optimized geometry

a = 3.2500 Å, b = 3.2500 Å, c = 14.7411 Å
α = 90.00°, β = 90.00°, γ = 90.98°
With the nearest neighbours (Å) after each atom.
Atoms (fractional coordinates):
Pm: 0.0060 0.9940 0.7500  8 Ir 3.11-3.15, 4 Pm 3.25
Pm: 0.9940 0.0060 0.2500  8 Ir 3.11-3.15, 4 Pm 3.25
Hf: 0.0000 0.0000 0.0000  8 Ir 2.77-2.81
Hf: 0.0000 0.0000 0.5000  8 Ir 2.77-2.81
Ir: 0.4976 0.5024 0.1068  4 Hf 2.77-2.81
Ir: 0.4976 0.5024 0.3932  4 Hf 2.77-2.81
Ir: 0.5024 0.4976 0.6068  4 Hf 2.77-2.81
Ir: 0.5024 0.4976 0.8932  4 Hf 2.77-2.81

## Properties
- formation energy (eV per atom) = -0.789
- total moment (μB per cell) = 0.00



No. 5
Compound: PmSi2
Source: OQMD
Functional: PBE
Structure: optimized geometry

a = 9.3941 Å, b = 9.3941 Å, c = 9.3941 Å
α = 60.00°, β = 60.00°, γ = 60.00°
With the nearest neighbours (Å) after each atom.
Atoms (fractional coordinates):
Pm: 0.1250 0.1250 0.1250  4 Si 2.88
Pm: 0.8750 0.8750 0.8750  4 Si 2.88
Si: 0.0000 0.0000 0.0000  2 Pm 2.88
Si: 0.0000 0.0000 0.5000  2 Pm 2.88
Si: 0.0000 0.5000 0.0000  2 Pm 2.88
Si: 0.5000 0.0000 0.0000  2 Pm 2.88

## Properties
- relative energy among the computed polymorphs (meV per atom) = 2134
- total moment (μB per cell) = 6.00



No. 6
Compound: NaSm
Source: OQMD
Functional: PBE
Structure: optimized geometry

a = 4.6025 Å, b = 4.6025 Å, c = 4.6025 Å
α = 60.00°, β = 60.00°, γ = 60.00°
With the nearest neighbours (Å) after each atom.
Atoms (fractional coordinates):
Na: 0.0000 0.0000 0.0000  6 Sm 3.25
Sm: 0.5000 0.5000 0.5000  6 Na 3.25

## Properties
- relative energy among the computed polymorphs (meV per atom) = 512
- total moment (μB per cell) = 0.40



No. 7
Compound: NaZrScPt
Source: OQMD
Functional: PBE
Structure: optimized geometry

a = 4.8029 Å, b = 4.8029 Å, c = 4.8029 Å
α = 60.00°, β = 60.00°, γ = 60.00°
With the nearest neighbours (Å) after each atom.
Atoms (fractional coordinates):
Na: 0.0000 0.0000 0.0000  4 Zr 2.94, 4 Sc 2.94
Zr: 0.7500 0.7500 0.7500  4 Pt 2.94, 4 Na 2.94
Sc: 0.2500 0.2500 0.2500  4 Pt 2.94, 4 Na 2.94
Pt: 0.5000 0.5000 0.5000  4 Zr 2.94, 4 Sc 2.94

## Properties
- relative energy among the computed polymorphs (meV per atom) = 0
- total moment (μB per cell) = 0.01



No. 8
Compound: ZnCoHgMo
Source: OQMD
Functional: PBE
Structure: optimized geometry

a = 4.4297 Å, b = 4.4297 Å, c = 4.4297 Å
α = 60.00°, β = 60.00°, γ = 60.00°
With the nearest neighbours (Å) after each atom.
Atoms (fractional coordinates):
Zn: 0.0000 0.0000 0.0000  4 Mo 2.71, 4 Co 2.71
Co: 0.2500 0.2500 0.2500  4 Hg 2.71, 4 Zn 2.71
Hg: 0.5000 0.5000 0.5000  4 Co 2.71, 4 Mo 2.71
Mo: 0.7500 0.7500 0.7500  4 Hg 2.71, 4 Zn 2.71

## Properties
- formation energy (eV per atom) = 0.612
- relative energy among the computed polymorphs (meV per atom) = 65
- total moment (μB per cell) = 0.68



No. 9
Compound: ScGaCoPd
Source: OQMD
Functional: PBE
Structure: optimized geometry

a = 4.3864 Å, b = 4.3864 Å, c = 4.3864 Å
α = 60.00°, β = 60.00°, γ = 60.00°
With the nearest neighbours (Å) after each atom.
Atoms (fractional coordinates):
Sc: 0.0000 0.0000 0.0000  4 Co 2.69, 4 Pd 2.69
Ga: 0.5000 0.5000 0.5000  4 Co 2.69, 4 Pd 2.69
Co: 0.7500 0.7500 0.7500  4 Ga 2.69, 4 Sc 2.69
Pd: 0.2500 0.2500 0.2500  4 Ga 2.69, 4 Sc 2.69

## Properties
- relative energy among the computed polymorphs (meV per atom) = 0
- total moment (μB per cell) = 0.89



No. 10
Compound: ScHgBi
Source: OQMD
Functional: PBE
Structure: optimized geometry

a = 4.9507 Å, b = 4.9507 Å, c = 4.9507 Å
α = 60.00°, β = 60.00°, γ = 60.00°
With the nearest neighbours (Å) after each atom.
Atoms (fractional coordinates):
Sc: 0.0000 0.0000 0.0000  4 Bi 3.03, 4 Hg 3.03
Hg: 0.2500 0.2500 0.2500  4 Sc 3.03
Bi: 0.7500 0.7500 0.7500  4 Sc 3.03

## Properties
- relative energy among the computed polymorphs (meV per atom) = 0
- total moment (μB per cell) = 0.00



No. 11
Compound: SrAu2F8
Source: OQMD
Functional: PBE
Structure: optimized geometry

a = 7.4632 Å, b = 7.4632 Å, c = 7.4632 Å
α = 102.79°, β = 102.79°, γ = 123.86°
With the nearest neighbours (Å) after each atom.
Atoms (fractional coordinates):
Sr: 0.0000 0.0000 0.0000  8 F 2.42-2.53
Sr: 0.7500 0.2500 0.5000  8 F 2.55-2.58
Au: 0.2075 0.0925 0.5602  4 F 1.93-1.96
Au: 0.3527 0.7925 0.8849  4 F 1.93-1.96
Au: 0.5323 0.6473 0.4398  4 F 1.93-1.96
Au: 0.9075 0.4677 0.1151  4 F 1.93-1.96
F: 0.0001 0.3043 0.2312  1 Au 1.96
F: 0.0731 0.7689 0.7688  1 Au 1.96
F: 0.2024 0.2099 0.8158  1 Au 1.93
F: 0.2027 0.5085 0.6387  1 Au 1.96
F: 0.2311 0.9999 0.3042  1 Au 1.96
F: 0.3940 0.3866 0.1842  1 Au 1.93
F: 0.4360 0.7973 0.3059  1 Au 1.96
F: 0.4915 0.1302 0.6941  1 Au 1.96
F: 0.4999 0.0874 0.1182  1 Au 1.96
F: 0.6134 0.7976 0.0074  1 Au 1.93
F: 0.6183 0.5001 0.5875  1 Au 1.96
F: 0.6957 0.9269 0.6958  1 Au 1.96
F: 0.7901 0.6060 0.9926  1 Au 1.93
F: 0.8698 0.5640 0.3613  1 Au 1.96
F: 0.9126 0.0308 0.4125  1 Au 1.96
F: 0.9692 0.3817 0.8818  1 Au 1.96

## Properties
- relative energy among the computed polymorphs (meV per atom) = 6



No. 12
Compound: Hf3Al
Source: OQMD
Functional: PBE
Structure: optimized geometry

a = 6.1374 Å, b = 6.1374 Å, c = 4.9988 Å
α = 90.00°, β = 90.00°, γ = 120.00°
With the nearest neighbours (Å) after each atom.
Atoms (fractional coordinates):
Hf: 0.1702 0.3403 0.2500  8 Hf 3.00-3.13, 4 Al 3.04-3.07
Hf: 0.1702 0.8298 0.2500  8 Hf 3.00-3.13, 4 Al 3.04-3.07
Hf: 0.3403 0.1702 0.7500  8 Hf 3.00-3.13, 4 Al 3.04-3.07
Hf: 0.6597 0.8298 0.2500  8 Hf 3.00-3.13, 4 Al 3.04-3.07
Hf: 0.8298 0.1702 0.7500  8 Hf 3.00-3.13, 4 Al 3.04-3.07
Hf: 0.8298 0.6597 0.7500  8 Hf 3.00-3.13, 4 Al 3.04-3.07
Al: 0.3333 0.6667 0.7500  12 Hf 3.04-3.07
Al: 0.6667 0.3333 0.2500  12 Hf 3.04-3.07

## Properties
- total moment (μB per cell) = 0.02



no.,VASP energy (eV per atom)
1,-6.5254
2,-6.0517
3,-2.1379
4,-8.8915
5,-3.3697
6,-2.2749
7,-5.8415
8,-4.2669
9,-6.0055
10,-3.8654
11,-3.9353
12,-8.6256